Computed, not measured: a geometry-optimized Dy4Ho11Sc9 structure at the PBE level of DFT.

Output
As for the space group: No. 65. The value obtained for the formation energy is 72 meV per atom. The density of states at the Fermi level comes out at 36.0 states/eV/cell. The final energy comes out at -5.1675 eV/atom.

Cell: 14.8955 14.8955 3.4809 Å, 90.00 90.00 116.40°
Element x y z (fractional)
1 Dy 0.0834 0.2612 0.0000
2 Dy 0.2612 0.0834 0.0000
3 Dy 0.7388 0.9166 0.0000
4 Dy 0.9166 0.7388 0.0000
5 Ho 0.0941 0.4662 0.5000
6 Ho 0.1236 0.8764 0.5000
7 Ho 0.2903 0.2903 0.5000
8 Ho 0.3118 0.6882 0.5000
9 Ho 0.4662 0.0941 0.5000
10 Ho 0.5000 0.5000 0.5000
11 Ho 0.5338 0.9059 0.5000
12 Ho 0.6882 0.3118 0.5000
13 Ho 0.7097 0.7097 0.5000
14 Ho 0.8764 0.1236 0.5000
15 Ho 0.9059 0.5338 0.5000
16 Sc 0.0000 0.0000 0.0000
17 Sc 0.1131 0.6769 0.0000
18 Sc 0.2966 0.4846 0.0000
19 Sc 0.3231 0.8869 0.0000
20 Sc 0.4846 0.2966 0.0000
21 Sc 0.5154 0.7034 0.0000
22 Sc 0.6769 0.1131 0.0000
23 Sc 0.7034 0.5154 0.0000
24 Sc 0.8869 0.3231 0.0000